Record 1
A plane-wave DFT calculation with GGA-PBE was carried out for crystalline BaLiHg at its relaxed geometry.

Results
The space group is P4/mmm, No. 123. For the calculated total energy, the calculation gives -1.6441 eV/atom.

Lattice parameters (Å, degrees): 4.015 4.015 11.652 90.00 90.00 90.00
Atoms (fractional coordinates):
Ba (0.000, 0.000, 0.179)
Ba (0.000, 0.000, 0.821)
Hg (0.500, 0.500, 0.000)
Hg (0.000, 0.000, 0.500)
Li (0.500, 0.500, 0.391)
Li (0.500, 0.500, 0.609)

Record 2
A plane-wave DFT calculation with GGA-PBE was carried out for crystalline BaLi3Hg2 at its relaxed geometry.

Results
The space group is P4mm, No. 99. For the calculated total energy, the calculation gives -1.6349 eV/atom.

Lattice parameters (Å, degrees): 3.723 3.723 10.412 90.00 90.00 90.00
Atoms (fractional coordinates):
Ba (0.500, 0.500, 0.157)
Hg (0.500, 0.500, 0.523)
Hg (0.000, 0.000, 0.935)
Li (0.000, 0.000, 0.411)
Li (0.000, 0.000, 0.665)
Li (0.500, 0.500, 0.810)

Record 3
A plane-wave DFT calculation with GGA-PBE was carried out for crystalline BaLiHg6 at its relaxed geometry.

Results
The space group is P-6m2, No. 187. For the calculated total energy, the calculation gives -0.9801 eV/atom.

Lattice parameters (Å, degrees): 7.117 7.117 5.166 90.00 90.00 120.00
Atoms (fractional coordinates):
Ba (0.000, 0.000, 0.500)
Hg (0.370, 0.185, 0.000)
Hg (0.815, 0.185, 0.000)
Hg (0.815, 0.630, 0.000)
Hg (0.025, 0.512, 0.500)
Hg (0.488, 0.512, 0.500)
Hg (0.488, 0.975, 0.500)
Li (0.333, 0.667, 0.000)